Computed, not measured: an optimized crystal structure of CrHgBr at the GGA-PBE level of DFT.

Geometry as POSCAR:
```
CrHgBr
1.0
-2.4956 -6.2412 -1.0086
0.3599 -6.1273 2.9198
-0.8542 6.7296 0.4257
Hg Cr Br
1 1 1
Direct
0.6993 0.6993 0.0000
0.3416 0.3416 0.0000
0.9591 0.9591 0.0000
```

Values from the calculation:
DOS at the Fermi energy ... 0.773 states/eV per atom
Total magnetization ... 4.6 Bohr magnetons per cell
Electronic total energy ... -3.729 eV per atom
Volume ... 74.9 Å³/f.u.
ΔE to the lowest computed polymorph ... 81.6 meV per atom
ΔE_f (raw) ... 0.1369 eV per atom